## Nb2CdC (GGA-PBE)

Data for a relaxed structure of Nb2CdC.

Cell and atoms, written as extended XYZ:
```
8
Lattice="-3.3186 3.3186 3.0288 3.3186 -3.3186 3.0288 3.3186 3.3186 -3.0288" Properties=species:S:1:pos:R:3 pbc="T T T"
Nb 1.6593 1.0937 -0.7572
Nb 2.2249 -1.6593 3.7860
Nb 1.6593 2.2249 2.2716
Nb 1.0937 4.9780 0.7572
Cd 3.3186 0.0000 1.5144
Cd 0.0000 0.0000 3.0288
C 0.0000 0.0000 0.0000
C 0.0000 3.3186 1.5144
```

Computed properties:
V: 16.68 Å³/atom
size of the total moment: 0.00 μB/cell
DFT total energy: -7.2147 eV/atom
E_form: 0.35 eV per atom